[1]
The following is a PBE-GGA calculation of a relaxed Th6Ir2RhS3 crystal, from Alexandria.

Summary:
- crystal system = monoclinic
- formation energy without anion corrections (eV per atom) = -1.34
- DOS(E_F) (states/eV/f.u.) = 12.2

Lattice parameters (Å, degrees): 9.436 9.436 8.519 106.50 106.50 24.99
Sites, in units of the cell vectors:
Th (0.004, 0.004, 0.242)
Th (0.329, 0.329, 0.427)
Th (0.338, 0.338, 0.907)
Th (0.662, 0.662, 0.093)
Th (0.671, 0.671, 0.573)
Th (0.996, 0.996, 0.758)
Ir (0.166, 0.166, 0.332)
Ir (0.834, 0.834, 0.668)
Rh (0.500, 0.500, 0.000)
S (0.166, 0.166, 0.833)
S (0.500, 0.500, 0.500)
S (0.834, 0.834, 0.167)

[2]
The following is a PBE-GGA calculation of a relaxed Th4Ir2RhS crystal, from Alexandria.

Summary:
- crystal system = monoclinic
- formation energy without anion corrections (eV per atom) = -1.13
- DOS(E_F) (states/eV/f.u.) = 5.7

Lattice parameters (Å, degrees): 7.199 4.097 7.242 90.00 109.18 90.00
Sites, in units of the cell vectors:
Th (0.240, 0.000, 0.242)
Th (0.243, 0.500, 0.754)
Th (0.757, 0.500, 0.246)
Th (0.760, 0.000, 0.758)
Ir (0.000, 0.000, 0.500)
Ir (0.000, 0.500, 0.000)
Rh (0.500, 0.000, 0.000)
S (0.500, 0.500, 0.500)

[3]
The following is a PBE-GGA calculation of a relaxed Th6Ir2Rh3S crystal, from Alexandria.

Summary:
- crystal system = monoclinic
- formation energy without anion corrections (eV per atom) = -1.05
- DOS(E_F) (states/eV/f.u.) = 7.4

Lattice parameters (Å, degrees): 9.260 9.260 8.350 103.51 103.51 25.58
Sites, in units of the cell vectors:
Th (0.002, 0.002, 0.261)
Th (0.329, 0.329, 0.916)
Th (0.334, 0.334, 0.420)
Th (0.666, 0.666, 0.580)
Th (0.671, 0.671, 0.084)
Th (0.998, 0.998, 0.739)
Ir (0.165, 0.165, 0.327)
Ir (0.835, 0.835, 0.673)
Rh (0.160, 0.160, 0.832)
Rh (0.500, 0.500, 0.500)
Rh (0.840, 0.840, 0.168)
S (0.500, 0.500, 0.000)

[4]
The following is a PBE-GGA calculation of a relaxed Th8Ir3RhS4 crystal, from Alexandria.

Summary:
- crystal system = trigonal
- formation energy without anion corrections (eV per atom) = -1.35
- DOS(E_F) (states/eV/f.u.) = 12.8

Lattice parameters (Å, degrees): 8.524 8.524 8.524 57.16 57.16 57.16
Sites, in units of the cell vectors:
Th (0.243, 0.744, 0.744)
Th (0.244, 0.244, 0.244)
Th (0.256, 0.256, 0.757)
Th (0.256, 0.757, 0.256)
Th (0.744, 0.243, 0.744)
Th (0.744, 0.744, 0.243)
Th (0.756, 0.756, 0.756)
Th (0.757, 0.256, 0.256)
Ir (0.000, 0.000, 0.500)
Ir (0.000, 0.500, 0.000)
Ir (0.500, 0.000, 0.000)
Rh (0.500, 0.500, 0.500)
S (0.000, 0.000, 0.000)
S (0.000, 0.500, 0.500)
S (0.500, 0.000, 0.500)
S (0.500, 0.500, 0.000)

[5]
The following is a PBE-GGA calculation of a relaxed VIrRh2S crystal, from Alexandria.

Summary:
- crystal system = tetragonal
- formation energy without anion corrections (eV per atom) = 0.37
- DOS(E_F) (states/eV/f.u.) = 7.4

Lattice parameters (Å, degrees): 4.301 4.301 4.248 90.00 90.00 90.00
Sites, in units of the cell vectors:
V (0.000, 0.000, 0.000)
Ir (0.500, 0.500, 0.000)
Rh (0.000, 0.500, 0.500)
Rh (0.500, 0.000, 0.500)
S (0.000, 0.000, 0.500)

[6]
The following is a PBE-GGA calculation of a relaxed YIrRhS2 crystal, from Alexandria.

Summary:
- crystal system = tetragonal
- formation energy without anion corrections (eV per atom) = -0.09
- DOS(E_F) (states/eV/f.u.) = 2.7

Lattice parameters (Å, degrees): 4.688 4.688 4.716 90.00 90.00 90.00
Sites, in units of the cell vectors:
Y (0.000, 0.000, 0.000)
Ir (0.500, 0.500, 0.500)
Rh (0.500, 0.500, 0.000)
S (0.000, 0.500, 0.500)
S (0.500, 0.000, 0.500)

[7]
The following is a PBE-GGA calculation of a relaxed SbIrRh4 crystal, from Alexandria.

Summary:
- crystal system = cubic
- formation energy without anion corrections (eV per atom) = 0.43
- DOS(E_F) (states/eV/f.u.) = 13.6

Lattice parameters (Å, degrees): 5.154 5.154 5.154 60.00 60.00 60.00
Sites, in units of the cell vectors:
Sb (0.000, 0.000, 0.000)
Ir (0.750, 0.750, 0.750)
Rh (0.376, 0.376, 0.376)
Rh (0.376, 0.376, 0.873)
Rh (0.376, 0.873, 0.376)
Rh (0.873, 0.376, 0.376)

[8]
The following is a PBE-GGA calculation of a relaxed SbIrRh3 crystal, from Alexandria.

Summary:
- crystal system = cubic
- formation energy without anion corrections (eV per atom) = 1.11
- E above lowest polymorph (meV/atom) = 0.0
- DOS(E_F) (states/eV/f.u.) = 7.4

Lattice parameters (Å, degrees): 4.742 4.742 4.742 90.00 90.00 90.00
Sites, in units of the cell vectors:
Sb (0.000, 0.000, 0.000)
Ir (0.500, 0.500, 0.500)
Rh (0.000, 0.500, 0.500)
Rh (0.500, 0.000, 0.500)
Rh (0.500, 0.500, 0.000)

- Among the records above, which one has the highest DOS(E_F)?
  SbIrRh4